BaPb: optimized geometry, PBE-GGA.

Geometry as extended XYZ:
```
6
Lattice="2.815 6.303 0.039 -2.815 6.303 0.039 0.000 1.592 7.199" Properties=species:S:1:pos:R:3 pbc="T T T"
Ba 0.000 1.646 6.445
Ba 0.000 8.711 0.686
Ba 0.000 5.463 3.723
Pb 0.000 4.401 0.213
Pb 0.000 1.895 2.723
Pb 0.000 9.175 4.375
```

## Properties
Magnetic moment = 0.00 μB/atom
Energy = -6.571 eV/f.u.
Formation energy from the elements = -0.470 eV per atom